(1)
The following is a DFT calculation (GGA-PBE) of Ac2Ga3Pt4Rh after structural relaxation.

```
10
Lattice="4.3936 0.0000 0.0000 0.0000 4.3936 0.0000 0.0000 0.0000 10.6780" Properties=species:S:1:pos:R:3 pbc="T T T"
Ac 0.0000 2.1968 7.9574
Ga 2.1968 0.0000 9.3763
Rh 2.1968 2.1968 5.3390
Ga 0.0000 2.1968 1.3017
Ga 0.0000 0.0000 5.3390
Pt 2.1968 0.0000 6.8714
Pt 0.0000 2.1968 3.8066
Ac 2.1968 0.0000 2.7206
Pt 0.0000 0.0000 0.0000
Pt 2.1968 2.1968 0.0000
```

Output
Formation energy = -82.8 kJ/mol of atoms
Total moment = 0.000 μB per formula unit
SG = P-4m2


(2)
The following is a DFT calculation (GGA-PBE) of Ac2Ga4PtRh3 after structural relaxation.

```
10
Lattice="-1.2110 -3.2295 -2.6989 4.2084 -0.8912 -0.8219 0.1361 -6.7510 8.0171" Properties=species:S:1:pos:R:3 pbc="T T T"
Ga -0.5201 -5.8479 3.6775
Rh -0.4867 -7.5061 5.6467
Ac -0.5710 -3.3261 0.6829
Pt 1.5668 -5.4358 2.2481
Ga 0.0000 0.0000 0.0000
Rh 0.0681 -3.3755 4.0085
Ga 1.4987 -2.0604 -1.7604
Ga 2.1550 -2.9635 2.5791
Ac 2.2058 -5.4852 5.5738
Rh 2.1216 -1.3052 0.6099
```

Output
Formation energy = -80.0 kJ/mol of atoms
Total moment = 0.000 μB per formula unit
SG = P-4m2


(3)
The following is a DFT calculation (GGA-PBE) of AcGa4Pt2Rh after structural relaxation.

```
8
Lattice="4.3285 0.0000 0.0000 2.1643 3.7486 0.0000 2.1643 1.2495 9.2527" Properties=species:S:1:pos:R:3 pbc="T T T"
Rh 4.3285 2.4991 4.6264
Ga 4.3285 2.4991 7.2544
Pt 2.1643 1.2495 2.8194
Pt 6.4928 3.7486 6.4334
Ga 6.4928 3.7486 3.7207
Ga 4.3285 2.4991 1.9983
Ga 2.1643 1.2495 5.5321
Ac 0.0000 0.0000 0.0000
```

Output
Formation energy = -70.2 kJ/mol of atoms
Total moment = 0.000 μB per formula unit
SG = R-3m


(4)
The following is a DFT calculation (GGA-PBE) of Ac2Ga6RuPt after structural relaxation.

```
10
Lattice="-3.9384 2.6241 -3.1266 2.9349 -3.7510 -6.8443 -3.3933 -4.1634 -4.3646" Properties=species:S:1:pos:R:3 pbc="T T T"
Ga -3.9588 -4.8309 -11.9026
Ga -2.3524 -1.8796 -3.7581
Ga -0.4379 -0.4595 -2.4329
Ga -2.0094 -6.1287 -10.3560
Ga -2.3873 0.8384 -3.9796
Pt -0.5017 -0.5635 -4.9855
Ru 0.0000 0.0000 0.0000
Ac -3.7596 -1.2901 -6.6372
Ac -0.6372 -4.0002 -7.6983
Ga -2.0443 -3.4108 -10.5774
```

Output
Formation energy = -50.4 kJ/mol of atoms
Total moment = 0.000 μB per formula unit
SG = C2/m


(5)
The following is a DFT calculation (GGA-PBE) of AcGaSbPt after structural relaxation.

```
4
Lattice="5.1650 0.0000 0.0000 2.5825 4.4730 0.0000 2.5825 1.4910 4.2172" Properties=species:S:1:pos:R:3 pbc="T T T"
Sb 7.7475 4.4730 3.1629
Pt 5.1650 2.9820 2.1086
Ac 2.5825 1.4910 1.0543
Ga 0.0000 0.0000 0.0000
```

Output
Total moment = 0.000 μB per formula unit
SG = F-43m
Formation energy without anion corrections = -562 meV/atom


(6)
The following is a DFT calculation (GGA-PBE) of Ac2GaSb3Pt4 after structural relaxation.

```
10
Lattice="-2.8752 2.8232 -2.3287 -3.3531 -3.2186 0.2380 -3.3680 4.1921 9.2407" Properties=species:S:1:pos:R:3 pbc="T T T"
Sb -2.1192 -1.0584 1.3333
Pt -3.1142 -0.1977 -1.0453
Ga -4.7982 1.8983 3.5750
Sb -1.6840 2.0960 4.6203
Pt -3.5256 4.0104 4.5644
Pt -2.9566 -0.0161 3.6309
Ac -2.2645 2.4408 1.1044
Sb -4.3630 5.0528 6.8620
Ac -4.2177 1.5535 7.0910
Pt 0.0000 0.0000 0.0000
```

Output
Total moment = 0.000 μB per formula unit
SG = P-4m2
Formation energy without anion corrections = -934 meV/atom


(7)
The following is a DFT calculation (GGA-PBE) of Ac2GaSbPt6 after structural relaxation.

```
10
Lattice="6.1099 0.0004 0.0014 0.0004 6.1099 0.0012 -3.0544 -3.0542 5.7896" Properties=species:S:1:pos:R:3 pbc="T T T"
Sb -0.0004 0.0027 0.8400
Pt 0.0012 0.0044 3.4158
Pt 3.0599 3.0631 3.3382
Pt 1.4894 1.4926 5.2283
Pt 1.4906 -1.4859 5.2237
Pt -1.4893 1.4938 5.2236
Ac 3.0551 0.0066 2.6799
Ga 3.0500 3.0530 0.8835
Ac 0.0035 3.0583 2.6799
Pt -1.4906 -1.4872 5.2244
```

Output
Total moment = 0.000 μB per formula unit
SG = Cm
Formation energy without anion corrections = -879 meV/atom


(8)
The following is a DFT calculation (GGA-PBE) of Ac2Ga3SbPt4 after structural relaxation.

```
10
Lattice="-2.6643 -2.7262 2.4795 2.8898 -3.4443 -0.6819 5.2509 2.7006 8.6114" Properties=species:S:1:pos:R:3 pbc="T T T"
Ga 2.6254 1.3503 4.3057
Ga 3.2991 1.0188 8.8349
Sb 2.7382 -1.7349 5.2045
Pt 2.0200 0.3609 6.7373
Ga 2.0646 -1.4034 0.6753
Pt 0.1127 -3.0853 0.8988
Ac 5.4257 0.3253 6.1876
Ac -0.0621 -0.7099 3.3227
Pt 0.0000 0.0000 0.0000
Pt 3.3436 -0.7456 2.7730
```

Output
Total moment = 0.000 μB per formula unit
SG = P-4m2
Formation energy without anion corrections = -956 meV/atom


> Look up the total moment of the eighth one.

0.000 μB per formula unit


> What is the formula in the first record?

Ac2Ga3Pt4Rh


Copy entry 4 word for word.
The following is a DFT calculation (GGA-PBE) of Ac2Ga6RuPt after structural relaxation.

```
10
Lattice="-3.9384 2.6241 -3.1266 2.9349 -3.7510 -6.8443 -3.3933 -4.1634 -4.3646" Properties=species:S:1:pos:R:3 pbc="T T T"
Ga -3.9588 -4.8309 -11.9026
Ga -2.3524 -1.8796 -3.7581
Ga -0.4379 -0.4595 -2.4329
Ga -2.0094 -6.1287 -10.3560
Ga -2.3873 0.8384 -3.9796
Pt -0.5017 -0.5635 -4.9855
Ru 0.0000 0.0000 0.0000
Ac -3.7596 -1.2901 -6.6372
Ac -0.6372 -4.0002 -7.6983
Ga -2.0443 -3.4108 -10.5774
```

Output
Formation energy = -50.4 kJ/mol of atoms
Total moment = 0.000 μB per formula unit
SG = C2/m